Material: Pm2Er3Tm6Pu
Method: DFT, GGA-PBE
State: relaxed

```
Pm2Er3Tm6Pu
1.0
-4.6753 0.9514 -3.7816
5.0872 -2.6422 -2.0503
-4.3807 -9.6742 4.6212
Pm Er Tm Pu
2 3 6 1
direct
0.3334 0.6666 0.0000
0.6666 0.3334 0.0000
0.1670 0.8330 0.5000
0.8330 0.1670 0.5000
0.5000 0.5000 0.5000
0.9168 0.5878 0.7490
0.7543 0.7543 0.2511
0.0832 0.4122 0.2510
0.5878 0.9168 0.7490
0.2457 0.2457 0.7489
0.4122 0.0832 0.2510
0.0000 0.0000 0.0000
```

The calculation puts the formation energy at 49 meV/atom. As for the symmetry: No. 12. The calculation puts the final energy at -5.314 eV/atom. The calculation puts the density of states at the Fermi level at 25.2 states/eV/cell.



Material: Dy4HoTm2Mg
Method: DFT, GGA-PBE
State: relaxed

```
Dy4HoTm2Mg
1.0
4.9409 0.0000 0.0000
0.0000 4.8228 1.0995
0.0000 2.6407 10.6918
Dy Ho Tm Mg
4 1 2 1
direct
0.0000 0.7475 0.7524
0.0000 0.2525 0.2476
0.5000 0.7524 0.2473
0.5000 0.2476 0.7527
0.0000 0.5000 0.5000
0.0000 0.0000 0.0000
0.5000 0.0000 0.5000
0.5000 0.5000 0.0000
```

The calculation puts the formation energy at 20 meV/atom. As for the symmetry: No. 123. The calculation puts the final energy at -4.171 eV/atom. The calculation puts the density of states at the Fermi level at 11.8 states/eV/cell.



- Which value of final energy does entry 1 give?
  -5.314 eV/atom



- Among the records above, which one has the lowest final energy?
  Pm2Er3Tm6Pu